# 1
Computed, not measured: a relaxed DyTi2O5 crystal at the PBE-GGA level of DFT.

Raw formation energy ... -25.20 eV/f.u.
Total moment ... 0.1 μB per formula unit
Crystal system ... orthorhombic
DOS at the Fermi energy ... 5.08 states/eV/cell

Unit cell a=3.535 b=4.947 c=11.925 alpha=90.00 beta=90.00 gamma=90.00
Fractional positions:
Ti: 0.000 0.420 0.845
Ti: 0.000 0.420 0.155
Ti: 0.500 0.580 0.345
Ti: 0.500 0.580 0.655
O: 0.500 0.925 0.387
O: 0.000 0.413 0.670
O: 0.500 0.925 0.613
O: 0.000 0.575 0.000
O: 0.500 0.425 0.500
O: 0.000 0.075 0.887
O: 0.000 0.413 0.330
O: 0.500 0.587 0.830
O: 0.500 0.587 0.170
O: 0.000 0.075 0.113
Dy: 0.000 0.125 0.500
Dy: 0.500 0.875 0.000


# 2
Computed, not measured: a relaxed Dy2Ti2O7 crystal at the PBE-GGA level of DFT.

Raw formation energy ... -36.83 eV/f.u.
Total moment ... 0.0 μB per formula unit
Crystal system ... monoclinic
DOS at the Fermi energy ... 0.00 states/eV/cell

Unit cell a=5.265 b=5.821 c=5.821 alpha=108.30 beta=96.63 gamma=96.63
Fractional positions:
O: 0.794 0.605 0.929
O: 0.723 0.421 0.421
O: 0.277 0.579 0.579
O: 0.206 0.071 0.395
O: 0.500 0.000 0.000
O: 0.794 0.929 0.605
O: 0.206 0.395 0.071
Dy: 0.000 0.690 0.310
Dy: 0.000 0.310 0.690
Ti: 0.401 0.244 0.244
Ti: 0.599 0.756 0.756


# 3
Computed, not measured: a relaxed DyTiO3 crystal at the PBE-GGA level of DFT.

Raw formation energy ... -16.08 eV/f.u.
Total moment ... 1.0 μB per formula unit
Crystal system ... orthorhombic
DOS at the Fermi energy ... 7.33 states/eV/cell

Unit cell a=5.336 b=5.712 c=7.685 alpha=90.00 beta=90.00 gamma=90.00
Fractional positions:
O: 0.190 0.198 0.558
O: 0.690 0.302 0.058
O: 0.622 0.045 0.750
O: 0.310 0.698 0.558
O: 0.378 0.955 0.250
O: 0.810 0.802 0.442
O: 0.310 0.698 0.942
O: 0.122 0.455 0.250
O: 0.690 0.302 0.442
O: 0.190 0.198 0.942
O: 0.878 0.545 0.750
O: 0.810 0.802 0.058
Ti: 0.500 0.000 0.000
Ti: 0.000 0.500 0.000
Ti: 0.000 0.500 0.500
Ti: 0.500 0.000 0.500
Dy: 0.522 0.572 0.250
Dy: 0.978 0.072 0.250
Dy: 0.022 0.928 0.750
Dy: 0.478 0.428 0.750


# 4
Computed, not measured: a relaxed DyTiTlO4 crystal at the PBE-GGA level of DFT.

Raw formation energy ... -18.72 eV/f.u.
Total moment ... 0.0 μB per formula unit
Crystal system ... monoclinic
DOS at the Fermi energy ... 0.00 states/eV/cell

Unit cell a=6.004 b=6.040 c=7.580 alpha=90.00 beta=107.46 gamma=90.00
Fractional positions:
Tl: 0.687 0.750 0.917
Tl: 0.313 0.250 0.083
Dy: 0.186 0.250 0.549
Dy: 0.814 0.750 0.451
O: 0.480 0.750 0.206
O: 0.520 0.250 0.794
O: 0.493 0.750 0.569
O: 0.934 0.024 0.659
O: 0.507 0.250 0.431
O: 0.066 0.976 0.341
O: 0.066 0.524 0.341
O: 0.934 0.476 0.659
Ti: 0.278 0.750 0.346
Ti: 0.722 0.250 0.654